A plane-wave DFT calculation with PBE was carried out for a geometry-optimized Tb2Ni3Ge2 structure.

Unit cell a=3.859 b=5.487 c=6.607 alpha=113.14 beta=90.00 gamma=110.59
Fractional coordinates of all 7 atoms:
Tb 0.134 0.268 0.761
Tb 0.866 0.732 0.239
Ge 0.850 0.701 0.766
Ge 0.150 0.299 0.234
Ni 0.500 0.000 0.000
Ni 0.386 0.771 0.571
Ni 0.614 0.229 0.429

Space-group type ... C2/m, No. 12
Energy of formation from the pure elements ... -424 kJ/mol of formula units

=====

A plane-wave DFT calculation with PBE was carried out for a geometry-optimized Tb2Ni2Ge3 structure.

Unit cell a=4.057 b=5.445 c=6.631 alpha=111.73 beta=90.00 gamma=111.87
Fractional coordinates of all 7 atoms:
Ge 0.382 0.765 0.554
Ge 0.500 0.000 0.000
Ge 0.618 0.235 0.446
Ni 0.858 0.715 0.751
Ni 0.142 0.285 0.249
Tb 0.852 0.703 0.217
Tb 0.148 0.297 0.783

Space-group type ... C2/m, No. 12
Energy of formation from the pure elements ... -405 kJ/mol of formula units
Energy relative to the lowest polymorph listed for this composition ... 132 meV per atom

=====

no.,M_tot (μB/f.u.),Fermi-level density of states (states/eV/cell)
1,0.00,4.52
2,0.00,4.45